1.
Computed, not measured: a geometry-optimized LiTiAlO4 structure at the GGA-PBEsol level of DFT.

Structure (extended XYZ):
```
14
Lattice="-2.847 2.932 4.089 2.847 -2.932 4.089 2.847 2.932 -4.089" Properties=species:S:1:pos:R:3 pbc="T T T"
Li 0.000 1.466 1.082
Li 2.847 1.466 3.007
Ti 2.847 0.000 0.000
Ti 0.000 0.000 4.089
Al 1.423 1.466 -2.045
Al 1.423 -1.466 2.045
O 2.847 -0.193 1.946
O 2.847 2.740 -1.946
O 1.540 1.466 -0.098
O 4.154 1.466 -0.098
O -1.307 1.466 4.187
O 1.307 1.466 4.187
O 0.000 0.193 6.035
O 0.000 3.125 2.144
```

Computed properties:
- DOS(E_F): 0.00 states/eV/cell
- Total magnetization: 0.000 μB/f.u.
- Symmetry: Imma
- Formation energy from raw total energies: -20.08 eV/f.u.
- Energy: -0.291 hartree per atom


2.
Computed, not measured: a geometry-optimized CoAs2F2 structure at the GGA-PBEsol level of DFT.

Structure (extended XYZ):
```
5
Lattice="-1.590 1.590 6.101 1.590 -1.590 6.101 1.590 1.590 -6.101" Properties=species:S:1:pos:R:3 pbc="T T T"
Co 0.000 0.000 0.000
As 0.000 0.000 4.721
As 0.000 0.000 7.481
F 1.590 0.000 3.050
F 0.000 1.590 3.050
```

Computed properties:
- DOS(E_F): 3.11 states/eV/cell
- Total magnetization: 0.409 μB/f.u.
- E above lowest polymorph: 0.4183 eV/atom
- Symmetry: I4/mmm
- Formation energy from raw total energies: -2.17 eV/f.u.
- Energy: -0.176 hartree per atom


3.
Computed, not measured: a geometry-optimized SrY5 structure at the GGA-PBEsol level of DFT.

Structure (extended XYZ):
```
6
Lattice="6.579 -1.813 0.000 6.579 1.813 0.000 -1.990 0.000 8.316" Properties=species:S:1:pos:R:3 pbc="T T T"
Sr 0.000 0.000 0.000
Y -0.472 0.000 5.016
Y 2.984 0.000 5.454
Y 4.421 0.000 2.407
Y 8.120 0.000 2.837
Y 7.696 0.000 7.786
```

Computed properties:
- DOS(E_F): 10.85 states/eV/cell
- Total magnetization: 0.005 μB/f.u.
- Symmetry: Cm
- Formation enthalpy at 0 K: 58 kJ/mol of formula units
- Energy: -0.216 hartree per atom


4.
Computed, not measured: a geometry-optimized Mo3AuO structure at the GGA-PBEsol level of DFT.

Structure (extended XYZ):
```
5
Lattice="4.083 0.000 0.000 0.000 4.083 0.000 0.000 0.000 4.083" Properties=species:S:1:pos:R:3 pbc="T T T"
Mo 0.000 0.000 2.042
Mo 0.000 2.042 0.000
Mo 2.042 0.000 0.000
Au 2.042 2.042 2.042
O 0.000 0.000 0.000
```

Computed properties:
- DOS(E_F): 4.52 states/eV/cell
- Total magnetization: 0.000 μB/f.u.
- E above lowest polymorph: 0.0000 eV/atom
- Symmetry: Pm-3m
- Formation energy from raw total energies: -1.37 eV/f.u.
- Energy: -0.337 hartree per atom


5.
Computed, not measured: a geometry-optimized Rh2AuCl structure at the GGA-PBEsol level of DFT.

Structure (extended XYZ):
```
4
Lattice="1.384 -2.450 0.000 1.384 2.450 0.000 0.000 0.000 9.227" Properties=species:S:1:pos:R:3 pbc="T T T"
Rh 0.000 0.000 0.000
Rh 1.384 0.000 2.148
Au 0.000 0.000 4.540
Cl 1.384 0.000 7.278
```

Computed properties:
- DOS(E_F): 3.94 states/eV/cell
- Total magnetization: 0.001 μB/f.u.
- E above lowest polymorph: 0.0112 eV/atom
- Symmetry: Cmm2
- Formation energy from raw total energies: 1.32 eV/f.u.
- Energy: -0.192 hartree per atom


6.
Computed, not measured: a geometry-optimized K2SbAsOs structure at the GGA-PBEsol level of DFT.

Structure (extended XYZ):
```
5
Lattice="6.467 0.000 0.000 0.000 6.467 0.000 0.000 0.000 4.885" Properties=species:S:1:pos:R:3 pbc="T T T"
K 0.000 3.234 0.000
K 3.234 0.000 0.000
Sb 0.000 0.000 0.000
As 3.234 3.234 2.442
Os 0.000 0.000 2.442
```

Computed properties:
- DOS(E_F): 4.34 states/eV/cell
- Total magnetization: 3.588 μB/f.u.
- Symmetry: P4/mmm
- Formation energy from raw total energies: 5.62 eV/f.u.
- Energy: -0.136 hartree per atom


7.
Computed, not measured: a geometry-optimized KCa9MnP7O28 structure at the GGA-PBEsol level of DFT.

Structure (extended XYZ):
```
92
Lattice="5.168 2.984 12.249 -5.168 2.984 12.249 0.000 -5.967 12.249" Properties=species:S:1:pos:R:3 pbc="T T T"
K 0.000 0.000 0.000
K 0.000 0.000 18.373
Ca -3.097 -1.724 15.402
Ca -0.056 -2.424 9.278
Ca -2.071 1.260 9.278
Ca -3.181 -1.680 19.351
Ca -0.136 -2.373 13.227
Ca -3.114 1.568 16.634
Ca -1.987 1.304 13.227
Ca 0.199 -3.481 16.634
Ca -2.054 -1.415 22.759
Ca 2.127 1.163 9.278
Ca 3.041 -1.820 15.402
Ca 0.056 3.544 15.402
Ca 2.123 1.069 13.227
Ca 3.045 -1.915 19.351
Ca -0.199 2.486 22.759
Ca 0.136 3.595 19.351
Ca 2.253 -1.071 22.759
Ca 2.915 1.913 16.634
Mn 0.000 0.000 6.757
Mn 0.000 0.000 25.130
P -2.523 -4.221 17.907
P -2.586 -1.739 26.296
P -2.582 1.245 20.171
P 0.213 -2.858 20.171
P 0.000 0.000 15.312
P -2.774 1.312 24.031
P -2.394 4.296 17.907
P 0.251 -3.058 24.031
P 2.369 1.614 20.171
P -0.213 3.109 26.296
P 2.799 -1.370 26.296
P 0.000 0.000 33.686
P 4.917 -0.074 17.907
P 2.523 1.746 24.031
O -4.282 -0.766 17.128
O -2.883 -4.196 19.402
O -2.936 0.220 11.342
O -1.361 -0.751 8.091
O -4.088 0.828 14.510
O -0.137 -1.519 5.398
O -1.477 -1.876 11.004
O -1.438 -3.470 14.931
O -2.284 -1.212 13.278
O -1.247 0.878 5.398
O -3.700 -2.904 21.938
O -2.232 -2.764 17.467
O 1.277 -2.652 11.342
O -2.723 -2.263 24.855
O -1.468 0.080 15.814
O -2.882 -0.003 21.055
O 1.327 -3.954 14.510
O 1.332 -0.803 8.091
O 0.030 1.555 8.091
O -2.444 0.720 18.731
O 1.384 0.641 5.398
O -1.080 -2.156 20.635
O -0.886 2.217 11.004
O -2.286 2.981 14.931
O 0.000 0.000 13.767
O 0.665 -1.311 15.814
O 0.598 -2.477 18.731
O 2.192 -1.372 13.278
O 2.363 -0.342 11.004
O 0.092 2.585 13.278
O -1.277 3.315 17.467
O -1.327 2.013 20.635
O -1.332 -0.803 26.464
O -1.384 0.641 23.771
O 2.805 -3.325 17.128
O 1.444 -2.495 21.055
O -2.192 4.595 19.402
O 0.137 -1.519 23.771
O 0.803 1.231 15.814
O 1.658 2.433 11.342
O 3.510 -0.551 17.467
O 1.846 1.757 18.731
O -0.665 4.656 21.938
O 3.724 0.489 14.931
O 2.407 0.143 20.635
O -0.030 1.555 26.464
O 1.361 -0.751 26.464
O -0.598 3.490 24.855
O 1.247 0.878 23.771
O 2.761 3.126 14.510
O 1.477 4.092 17.128
O 1.438 2.498 21.055
O 0.000 0.000 32.140
O 4.365 -1.752 21.938
O 3.322 -1.227 24.855
O 5.076 -0.399 19.402
```

Computed properties:
- DOS(E_F): 14.86 states/eV/cell
- Total magnetization: 0.990 μB/f.u.
- Symmetry: R3c
- Formation energy from raw total energies: -127.53 eV/f.u.
- Energy: -0.276 hartree per atom


8.
Computed, not measured: a geometry-optimized AsSe3 structure at the GGA-PBEsol level of DFT.

Structure (extended XYZ):
```
4
Lattice="-1.922 2.170 5.168 1.922 -2.170 5.168 1.922 2.170 -5.168" Properties=species:S:1:pos:R:3 pbc="T T T"
As 0.000 0.000 0.000
Se 1.922 0.000 1.877
Se 0.000 0.000 5.168
Se 0.000 2.170 3.291
```

Computed properties:
- DOS(E_F): 1.92 states/eV/cell
- Total magnetization: 0.000 μB/f.u.
- E above lowest polymorph: 0.0462 eV/atom
- Symmetry: Immm
- Formation energy from raw total energies: 1.09 eV/f.u.
- Energy: -0.143 hartree per atom


9.
Computed, not measured: a geometry-optimized Ta3SbP6O24 structure at the GGA-PBEsol level of DFT.

Structure (extended XYZ):
```
34
Lattice="4.379 2.528 7.490 -4.379 2.528 7.490 0.000 -5.057 7.490" Properties=species:S:1:pos:R:3 pbc="T T T"
Ta 0.000 0.000 0.000
Ta 0.000 0.000 4.871
Ta 0.000 0.000 11.220
Sb 0.000 0.000 16.154
P -1.060 -2.916 9.914
P -2.505 0.000 13.648
P -1.995 2.376 9.914
P 1.253 -2.170 13.648
P 3.055 0.540 9.914
P 1.253 2.170 13.648
O -1.675 0.125 5.878
O -0.332 -3.499 8.671
O -3.209 -1.369 13.906
O -2.864 2.037 8.671
O -0.506 -3.595 11.180
O 0.729 -1.513 5.878
O -0.632 -1.430 10.058
O -2.860 2.236 11.180
O -1.617 -0.161 12.384
O -0.923 1.262 10.058
O 0.945 1.388 5.878
O -1.711 0.490 14.829
O -1.401 -1.306 17.333
O 0.948 -1.320 12.384
O 0.431 -1.726 14.829
O 1.555 0.168 10.058
O 0.669 1.481 12.384
O 2.790 -2.095 13.906
O -0.430 1.866 17.333
O 3.196 1.462 8.671
O 1.280 1.236 14.829
O 0.419 3.464 13.906
O 1.831 -0.560 17.333
O 3.367 1.359 11.180
```

Computed properties:
- DOS(E_F): 0.00 states/eV/cell
- Total magnetization: 0.000 μB/f.u.
- Symmetry: R3
- Formation energy from raw total energies: -81.10 eV/f.u.
- Energy: -0.307 hartree per atom


10.
Computed, not measured: a geometry-optimized RbBiAsIr2 structure at the GGA-PBEsol level of DFT.

Structure (extended XYZ):
```
5
Lattice="4.785 0.000 0.000 0.000 4.785 0.000 0.000 0.000 5.731" Properties=species:S:1:pos:R:3 pbc="T T T"
Rb 0.000 0.000 0.000
Bi 0.000 0.000 2.866
As 2.392 2.392 2.866
Ir 0.000 2.392 0.000
Ir 2.392 0.000 0.000
```

Computed properties:
- DOS(E_F): 8.37 states/eV/cell
- Total magnetization: 0.004 μB/f.u.
- Symmetry: P4/mmm
- Formation enthalpy at 0 K: 1362 kJ/mol of formula units
- Energy: -0.117 hartree per atom


11.
Computed, not measured: a geometry-optimized Na3RhI structure at the GGA-PBEsol level of DFT.

Structure (extended XYZ):
```
5
Lattice="5.664 0.000 0.000 0.000 5.664 0.000 0.000 0.000 5.664" Properties=species:S:1:pos:R:3 pbc="T T T"
Na 0.000 0.000 2.832
Na 0.000 2.832 0.000
Na 2.832 0.000 0.000
Rh 2.832 2.832 2.832
I 0.000 0.000 0.000
```

Computed properties:
- DOS(E_F): 8.86 states/eV/cell
- Total magnetization: 1.029 μB/f.u.
- Symmetry: Pm-3m
- Formation energy from raw total energies: 2.51 eV/f.u.
- Energy: -0.085 hartree per atom


12.
Computed, not measured: a geometry-optimized Cs2SiW structure at the GGA-PBEsol level of DFT.

Structure (extended XYZ):
```
4
Lattice="0.000 4.139 4.139 4.139 0.000 4.139 4.139 4.139 0.000" Properties=species:S:1:pos:R:3 pbc="T T T"
Cs 2.070 2.070 2.070
Cs 6.209 6.209 6.209
Si 0.000 0.000 0.000
W 4.139 4.139 4.139
```

Computed properties:
- DOS(E_F): 2.24 states/eV/cell
- Total magnetization: 3.077 μB/f.u.
- Symmetry: Fm-3m
- Formation energy from raw total energies: 8.14 eV/f.u.
- Energy: -0.122 hartree per atom


13.
Computed, not measured: a geometry-optimized HfIn2CoPd structure at the GGA-PBEsol level of DFT.

Structure (extended XYZ):
```
5
Lattice="4.864 0.000 0.000 0.000 4.864 0.000 0.000 0.000 4.589" Properties=species:S:1:pos:R:3 pbc="T T T"
Hf 0.000 0.000 0.000
In 0.000 2.432 2.294
In 2.432 0.000 2.294
Co 2.432 2.432 0.000
Pd 2.432 2.432 2.294
```

Computed properties:
- DOS(E_F): 5.21 states/eV/cell
- Total magnetization: 1.897 μB/f.u.
- Symmetry: P4/mmm
- Formation enthalpy at 0 K: 333 kJ/mol of formula units
- Energy: -0.196 hartree per atom


14.
Computed, not measured: a geometry-optimized LiNi3Ge structure at the GGA-PBEsol level of DFT.

Structure (extended XYZ):
```
5
Lattice="4.307 0.000 0.000 0.000 4.307 0.000 0.000 0.000 4.307" Properties=species:S:1:pos:R:3 pbc="T T T"
Li 0.000 0.000 0.000
Ni 0.000 2.154 2.154
Ni 2.154 0.000 2.154
Ni 2.154 2.154 0.000
Ge 2.154 2.154 2.154
```

Computed properties:
- DOS(E_F): 5.22 states/eV/cell
- Total magnetization: 0.009 μB/f.u.
- Symmetry: Pm-3m
- Formation enthalpy at 0 K: 226 kJ/mol of formula units
- Energy: -0.169 hartree per atom


15.
Computed, not measured: a geometry-optimized Ca2AlZn structure at the GGA-PBEsol level of DFT.

Structure (extended XYZ):
```
4
Lattice="3.533 0.000 0.000 0.000 3.533 0.000 0.000 0.000 7.728" Properties=species:S:1:pos:R:3 pbc="T T T"
Ca 0.000 0.000 1.852
Ca 0.000 0.000 5.876
Al 1.767 1.767 3.864
Zn 1.767 1.767 0.000
```

Computed properties:
- DOS(E_F): 2.57 states/eV/cell
- Total magnetization: 0.000 μB/f.u.
- Symmetry: P4/mmm
- Formation enthalpy at 0 K: -78 kJ/mol of formula units
- Energy: -0.099 hartree per atom


16.
Computed, not measured: a geometry-optimized Ca2CuIrO6 structure at the GGA-PBEsol level of DFT.

Structure (extended XYZ):
```
20
Lattice="4.463 -4.567 0.000 4.463 4.567 0.000 -0.210 0.000 6.317" Properties=species:S:1:pos:R:3 pbc="T T T"
Ca 0.000 0.000 0.000
Ca 2.728 0.254 2.393
Ca 5.988 0.254 3.924
Ca 4.358 -2.719 3.159
Cu 4.358 2.625 3.159
Cu 4.463 -0.520 0.000
Ir 2.064 -1.371 4.817
Ir 6.653 -1.371 1.500
O 2.479 2.547 3.362
O 1.123 0.208 4.264
O 3.945 2.376 1.332
O 4.771 2.376 4.985
O 2.622 -0.673 0.264
O 6.237 2.547 2.955
O 3.902 -0.549 4.453
O 4.815 -0.549 1.865
O 3.033 -3.022 5.093
O 6.095 -0.673 6.053
O 7.594 0.208 2.053
O 5.683 -3.022 1.224
```

Computed properties:
- DOS(E_F): 13.80 states/eV/cell
- Total magnetization: 1.296 μB/f.u.
- Symmetry: C2
- Formation energy from raw total energies: -15.14 eV/f.u.
- Energy: -0.239 hartree per atom


17.
Computed, not measured: a geometry-optimized CuPHO4 structure at the GGA-PBEsol level of DFT.

Structure (extended XYZ):
```
42
Lattice="7.967 4.600 2.199 -7.967 4.600 2.199 0.000 -9.200 2.199" Properties=species:S:1:pos:R:3 pbc="T T T"
Cu -3.872 -4.430 3.265
Cu -5.773 1.138 3.331
Cu 1.901 -5.569 3.331
Cu -1.901 5.569 3.265
Cu 5.773 -1.138 3.265
Cu 3.872 4.430 3.331
P -0.543 -3.655 2.748
P -2.894 2.298 2.748
P -3.437 -1.357 3.848
P 3.437 1.357 2.748
P 2.894 -2.298 3.848
P 0.543 3.655 3.848
H -1.610 -1.904 1.969
H -0.844 2.346 1.969
H 2.454 -0.442 1.969
H -2.454 0.442 4.627
H 0.844 -2.346 4.627
H 1.610 1.904 4.627
O -1.630 -4.719 2.594
O -3.017 -1.184 2.364
O -0.738 -2.413 1.815
O -4.082 1.385 2.317
O -1.720 1.846 1.815
O 0.841 -4.227 2.317
O -4.902 -0.948 4.002
O -3.272 3.771 2.594
O -3.240 -2.842 4.278
O 2.534 -2.021 2.364
O 2.458 0.567 1.815
O -0.484 -3.205 4.232
O 0.484 3.205 2.364
O -2.458 -0.567 4.781
O -2.534 2.021 4.232
O 3.240 2.842 2.317
O 3.272 -3.771 4.002
O 4.902 0.948 2.594
O -0.841 4.227 4.278
O 1.720 -1.846 4.781
O 4.082 -1.385 4.278
O 0.738 2.413 4.781
O 3.017 1.184 4.232
O 1.630 4.719 4.002
```

Computed properties:
- Total magnetization: 1.003 μB/f.u.
- Symmetry: R-3
- Energy: -0.235 hartree per atom


18.
Computed, not measured: a geometry-optimized FeMoW2 structure at the GGA-PBEsol level of DFT.

Structure (extended XYZ):
```
4
Lattice="0.000 3.074 3.074 3.074 0.000 3.074 3.074 3.074 0.000" Properties=species:S:1:pos:R:3 pbc="T T T"
Fe 0.000 0.000 0.000
Mo 1.537 1.537 1.537
W 3.074 3.074 3.074
W 4.611 4.611 4.611
```

Computed properties:
- DOS(E_F): 2.61 states/eV/cell
- Total magnetization: 1.981 μB/f.u.
- E above lowest polymorph: 0.0794 eV/atom
- Symmetry: F-43m
- Formation enthalpy at 0 K: 66 kJ/mol of formula units
- Energy: -0.438 hartree per atom


19.
Computed, not measured: a geometry-optimized KMgPb2 structure at the GGA-PBEsol level of DFT.

Structure (extended XYZ):
```
4
Lattice="-2.499 2.504 4.754 2.499 -2.504 4.754 2.499 2.504 -4.754" Properties=species:S:1:pos:R:3 pbc="T T T"
K 0.000 0.000 0.000
Mg 2.499 0.000 2.382
Pb 0.000 0.000 4.752
Pb 0.000 2.504 2.375
```

Computed properties:
- DOS(E_F): 1.25 states/eV/cell
- Total magnetization: 0.000 μB/f.u.
- Symmetry: Imm2
- Formation enthalpy at 0 K: -7 kJ/mol of formula units
- Energy: -0.100 hartree per atom